No. 1
Computed, not measured: a relaxed NaGa3Ag crystal at the PBE-GGA level of DFT.

Cell and atoms, written as POSCAR:
```
NaGa3Ag
1.0
-3.1781 -2.5586 0.5738
2.6019 -2.8875 1.3669
-0.3761 4.7605 4.7152
Na Ga Ag
1 3 1
Direct
0.3956 0.3956 0.7917
0.6475 0.1507 0.2978
0.1507 0.6475 0.2978
0.0077 0.0077 0.0151
0.7954 0.7954 0.5916
```

Results
The raw total energy comes out at -2.7410 eV per atom. The energy relative to the lowest polymorph listed for this composition is 0.0 meV per atom. The formation enthalpy at 0 K is -9 kJ/mol of atoms.

No. 2
Computed, not measured: a relaxed TlHgSe crystal at the PBE-GGA level of DFT.

Cell and atoms, written as POSCAR:
```
TlHgSe
1.0
5.5656 0.0000 0.0000
-2.7828 4.8199 0.0000
0.0000 0.0000 3.0632
Hg Se Tl
1 1 1
Direct
0.0000 0.0000 0.1669
0.6667 0.3333 0.1617
0.3333 0.6667 0.6714
```

Results
The raw total energy comes out at -2.0828 eV per atom. The energy relative to the lowest polymorph listed for this composition is 197.3 meV per atom. For the uncorrected formation energy, the calculation gives -0.03 eV/atom.

No. 3
Computed, not measured: a relaxed PuPd5Pt2 crystal at the PBE-GGA level of DFT.

Cell and atoms, written as POSCAR:
```
PuPd5Pt2
1.0
4.0836 0.0000 0.0000
0.0000 5.7211 0.0000
0.0000 0.0000 11.3473
Pu Pd Pt
2 10 4
Direct
0.0000 0.0000 0.5000
0.0000 0.5000 0.0000
0.0000 0.0000 0.0000
0.0000 0.5000 0.5000
0.0000 0.5021 0.7495
0.0000 0.4979 0.2505
0.0000 0.9979 0.2495
0.0000 0.0021 0.7505
0.5000 0.2479 0.8732
0.5000 0.7521 0.1268
0.5000 0.2521 0.3732
0.5000 0.7479 0.6268
0.5000 0.2530 0.6247
0.5000 0.7470 0.3753
0.5000 0.2470 0.1247
0.5000 0.7530 0.8753
```

Results
The raw total energy comes out at -6.8878 eV per atom. The formation enthalpy at 0 K is -33 kJ/mol of atoms.

No. 4
Computed, not measured: a relaxed Cs3AcGe2O6 crystal at the PBE-GGA level of DFT.

Cell and atoms, written as POSCAR:
```
Cs3AcGe2O6
1.0
-0.8418 3.9912 5.0015
-4.9390 -3.5449 -2.1665
2.0275 -5.9212 5.0664
Cs Ac Ge O
3 1 2 6
Direct
0.3333 0.6667 0.6987
0.6667 0.3333 0.3013
0.0000 0.0000 0.0000
0.0000 0.0000 0.5000
0.6667 0.3333 0.7533
0.3333 0.6667 0.2467
0.6379 0.8190 0.3179
0.1810 0.3621 0.3179
0.1810 0.8190 0.3179
0.8190 0.6379 0.6821
0.3621 0.1810 0.6821
0.8190 0.1810 0.6821
```

Results
The raw total energy comes out at -5.6831 eV per atom. For the uncorrected formation energy, the calculation gives -1.88 eV/atom.